# Ni2SbO3

Crystalline Ni2SbO3 at its relaxed geometry (PBE+U, the Alexandria database).

The structure in POSCAR format:
```
Ni2SbO3
1.0
5.246 0.000 0.000
-1.856 5.713 0.000
-1.095 -2.125 5.702
Ni Sb O
4 2 6
Cartesian
0.726 -0.677 2.267
-0.196 2.162 2.418
2.491 1.427 3.284
1.568 4.266 3.435
0.442 -1.308 5.238
1.853 4.896 0.464
-1.815 3.260 3.127
1.363 1.166 1.624
0.481 3.936 1.638
1.814 -0.348 4.064
0.931 2.422 4.078
4.109 0.328 2.576
```

Values from the calculation:
SG = P-1 (2)
energy = -4.861 eV per atom